Tb3ErPb2: relaxed, PBE-GGA.

Results
The energy relative to the lowest polymorph listed for this composition is 55.4 meV/atom. The raw total energy is -4.6795 eV/atom. The formation enthalpy at 0 K is -2.2 eV/f.u. Its crystal system is orthorhombic. The value obtained for the density of states at the Fermi level is 13.300 states/eV per cell.

Cell and atoms, written as CIF:
```
data_Tb3ErPb2
_chemical_formula_sum 'Tb6 Er2 Pb4'
_cell_length_a 4.916
_cell_length_b 15.974
_cell_length_c 4.418
_cell_angle_alpha 90.00
_cell_angle_beta 90.00
_cell_angle_gamma 90.00
_space_group_name_H-M_alt 'C m m m'
_space_group_IT_number 65
_space_group_name_Hall '-C 2 2'
loop_
_atom_site_label
_atom_site_type_symbol
_atom_site_fract_x
_atom_site_fract_y
_atom_site_fract_z
_atom_site_occupancy
Tb1 Tb 0.000 0.000 0.000 1
Tb2 Tb 0.000 0.325 0.000 1
Er1 Er 0.000 0.500 0.500 1
Pb1 Pb 0.000 0.151 0.500 1
```